No. 1
This record from the Alexandria database describes Ba2GaGe2 after structural relaxation. The functional is PBE.

Calculated values
Total magnetization (μB/cell): 0.0
Energy of formation from the pure elements (kJ/mol of formula units): -96

POSCAR file:
```
Ba2GaGe2
1.0
-3.043 -0.790 2.272
1.796 -3.184 1.299
3.639 3.532 9.415
Ge Ba Ga
2 2 1
direct
0.750 0.250 0.500 Ge
0.250 0.750 0.500 Ge
0.393 0.393 0.214 Ba
0.607 0.607 0.786 Ba
0.000 0.000 0.000 Ga
```


No. 2
This record from the Alexandria database describes Pr3HoOs after structural relaxation. The functional is PBE.

Calculated values
Total magnetization (μB/cell): 0.0
Energy of formation from the pure elements (kJ/mol of formula units): 90

POSCAR file:
```
Pr3HoOs
1.0
5.635 0.000 0.000
0.000 5.635 0.000
0.000 0.000 5.635
Pr Os Ho
3 1 1
direct
0.000 0.500 0.000 Pr
0.000 0.000 0.500 Pr
0.500 0.000 0.000 Pr
0.000 0.000 0.000 Os
0.500 0.500 0.500 Ho
```


No. 3
This record from the Alexandria database describes TaWSe2 after structural relaxation. The functional is PBE.

Calculated values
Formation energy from raw total energies (kJ/mol of formula units): 188
Total magnetization (μB/cell): 0.0

POSCAR file:
```
TaWSe2
1.0
-2.516 -2.868 3.155
1.602 -4.633 -0.696
2.548 4.166 0.816
Se Ta W
2 1 1
direct
0.000 0.000 0.000 Se
0.250 0.750 0.500 Se
0.500 0.500 0.000 Ta
0.750 0.250 0.500 W
```


No. 4
This record from the Alexandria database describes CuRe4Si after structural relaxation. The functional is PBE.

Calculated values
Formation energy from raw total energies (kJ/mol of formula units): 460
Total magnetization (μB/cell): 0.0

POSCAR file:
```
CuRe4Si
1.0
2.109 -1.523 4.438
-2.630 -3.078 3.175
1.444 -4.899 0.614
Cu Re Si
1 4 1
direct
0.000 0.000 0.000 Cu
0.626 0.626 0.123 Re
0.626 0.123 0.626 Re
0.626 0.626 0.626 Re
0.123 0.626 0.626 Re
0.250 0.250 0.250 Si
```


No. 5
This record from the Alexandria database describes YLuTe3 after structural relaxation. The functional is PBE.

Calculated values
Formation energy from raw total energies (kJ/mol of formula units): -465
Total magnetization (μB/cell): 0.0

POSCAR file:
```
YLuTe3
1.0
-1.599 1.707 -4.727
-0.576 -4.990 -1.607
-6.844 0.040 2.330
Y Lu Te
1 1 3
direct
0.500 0.500 0.583 Y
0.000 0.000 0.178 Lu
0.000 0.000 0.783 Te
0.500 0.000 0.360 Te
0.000 0.500 0.360 Te
```


No. 6
This record from the Alexandria database describes Ho2Tm6Fe after structural relaxation. The functional is PBE.

Calculated values
Total magnetization (μB/cell): 2.1
Energy of formation from the pure elements (kJ/mol of formula units): 196

POSCAR file:
```
Ho2Tm6Fe
1.0
-1.075 -0.907 -3.124
-0.904 -8.588 2.803
-7.469 5.868 0.867
Ho Tm Fe
2 6 1
direct
0.500 0.679 0.359 Ho
0.500 0.321 0.641 Ho
0.000 0.331 0.318 Tm
0.000 0.013 0.682 Tm
0.000 0.669 0.682 Tm
0.500 0.279 0.000 Tm
0.000 0.987 0.318 Tm
0.500 0.721 0.000 Tm
0.000 0.000 0.000 Fe
```


No. 7
This record from the Alexandria database describes K2RbLiBe after structural relaxation. The functional is PBE.

Calculated values
Total magnetization (μB/cell): 0.0
Energy of formation from the pure elements (kJ/mol of formula units): 514

POSCAR file:
```
K2RbLiBe
1.0
7.701 0.000 0.000
0.000 6.424 0.000
0.000 0.000 7.701
Be K Rb Li
1 2 1 1
direct
0.500 0.500 0.500 Be
0.000 0.000 0.500 K
0.500 0.000 0.000 K
0.000 0.000 0.000 Rb
0.000 0.500 0.000 Li
```


No. 8
This record from the Alexandria database describes Ti10GeBi6 after structural relaxation. The functional is PBE.

Calculated values
Total magnetization (μB/cell): 0.0
Energy of formation from the pure elements (kJ/mol of formula units): -340

POSCAR file:
```
Ti10GeBi6
1.0
-3.097 -1.187 4.565
-6.783 -0.727 -4.791
4.774 -6.666 1.506
Ti Ge Bi
10 1 6
direct
0.766 0.747 0.747 Ti
0.766 0.000 0.253 Ti
0.766 0.253 0.000 Ti
0.234 0.253 0.253 Ti
0.234 0.000 0.747 Ti
0.234 0.747 0.000 Ti
0.500 0.333 0.667 Ti
0.500 0.667 0.333 Ti
0.000 0.667 0.333 Ti
0.000 0.333 0.667 Ti
0.500 0.000 0.000 Ge
0.748 0.388 0.388 Bi
0.748 0.000 0.612 Bi
0.748 0.612 0.000 Bi
0.252 0.612 0.612 Bi
0.252 0.000 0.388 Bi
0.252 0.388 0.000 Bi
```